#w
Entry from OQMD: crystalline GdTlHgSe3 at its relaxed geometry (PBE).

abc: 12.194 4.334 12.774
angles: 90.00 90.00 90.00
Element x y z (fractional)
Tl (0.663, 0.000, 0.498)
Hg (0.750, 0.500, 0.695)
Se (0.468, 0.000, 0.332)
Hg (0.250, 0.500, 0.805)
Se (0.083, 0.000, 0.435)
Tl (0.337, 0.500, 0.502)
Se (0.267, 0.000, 0.672)
Hg (0.250, 0.000, 0.305)
Se (0.767, 0.000, 0.828)
Gd (0.967, 0.500, 0.325)
Tl (0.837, 0.500, 0.998)
Se (0.733, 0.500, 0.328)
Se (0.968, 0.000, 0.168)
Se (0.917, 0.500, 0.565)
Hg (0.750, 0.000, 0.195)
Se (0.032, 0.500, 0.832)
Se (0.417, 0.500, 0.935)
Gd (0.467, 0.500, 0.175)
Se (0.583, 0.000, 0.065)
Tl (0.163, 0.000, 0.002)
Se (0.532, 0.500, 0.668)
Gd (0.533, 0.000, 0.825)
Gd (0.033, 0.000, 0.675)
Se (0.233, 0.500, 0.172)

Values from the calculation:
- Space-group type: Pnma
- Calculated density: 7.86 g cm⁻³


#x
Entry from OQMD: crystalline GdTlHgSe3 at its relaxed geometry (PBE).

abc: 7.615 7.615 11.018
angles: 90.00 90.00 32.06
Element x y z (fractional)
Tl (0.249, 0.249, 0.750)
Se (0.365, 0.365, 0.044)
Se (0.635, 0.635, 0.956)
Tl (0.751, 0.751, 0.250)
Se (0.365, 0.365, 0.456)
Hg (0.544, 0.544, 0.750)
Se (0.635, 0.635, 0.544)
Se (0.076, 0.076, 0.250)
Gd (0.000, 0.000, 0.500)
Se (0.924, 0.924, 0.750)
Hg (0.456, 0.456, 0.250)
Gd (0.000, 0.000, 0.000)

Values from the calculation:
- Space-group type: Cmcm
- Calculated density: 7.82 g cm⁻³


Most stable: #x. Least stable: #w.


#w
Entry from OQMD: crystalline GdTlHgTe3 at its relaxed geometry (PBE).

abc: 4.587 12.853 13.493
angles: 90.00 90.00 90.00
Element x y z (fractional)
Hg (0.750, 0.254, 0.302)
Hg (0.750, 0.754, 0.198)
Te (0.250, 0.529, 0.655)
Te (0.250, 0.229, 0.172)
Te (0.750, 0.971, 0.155)
Te (0.750, 0.584, 0.065)
Hg (0.250, 0.746, 0.698)
Te (0.250, 0.916, 0.565)
Tl (0.250, 0.825, 0.009)
Te (0.750, 0.771, 0.828)
Te (0.750, 0.471, 0.345)
Hg (0.250, 0.246, 0.802)
Te (0.250, 0.029, 0.845)
Te (0.750, 0.084, 0.435)
Te (0.750, 0.271, 0.672)
Gd (0.250, 0.468, 0.183)
Tl (0.750, 0.175, 0.991)
Te (0.250, 0.729, 0.328)
Gd (0.750, 0.532, 0.817)
Tl (0.750, 0.675, 0.509)
Tl (0.250, 0.325, 0.491)
Te (0.250, 0.416, 0.935)
Gd (0.750, 0.032, 0.683)
Gd (0.250, 0.968, 0.317)

Values from the calculation:
- Space-group type: Pnma
- Calculated density: 7.89 g cm⁻³


#x
Entry from OQMD: crystalline GdTlHgTe3 at its relaxed geometry (PBE).

abc: 8.934 4.672 18.624
angles: 90.00 90.00 90.00
Element x y z (fractional)
Te (0.711, 0.250, 0.207)
Gd (0.277, 0.750, 0.960)
Gd (0.723, 0.250, 0.040)
Hg (0.457, 0.750, 0.663)
Tl (0.917, 0.750, 0.307)
Tl (0.583, 0.250, 0.807)
Te (0.211, 0.250, 0.293)
Tl (0.417, 0.750, 0.193)
Te (0.373, 0.250, 0.058)
Te (0.873, 0.250, 0.442)
Te (0.127, 0.750, 0.558)
Te (0.995, 0.750, 0.073)
Gd (0.777, 0.750, 0.540)
Hg (0.957, 0.750, 0.837)
Te (0.627, 0.750, 0.942)
Tl (0.083, 0.250, 0.693)
Hg (0.543, 0.250, 0.337)
Te (0.505, 0.250, 0.573)
Te (0.289, 0.750, 0.793)
Te (0.789, 0.750, 0.707)
Gd (0.223, 0.250, 0.460)
Te (0.495, 0.750, 0.427)
Te (0.005, 0.250, 0.927)
Hg (0.043, 0.250, 0.163)

Values from the calculation:
- Space-group type: Pnma
- Calculated density: 8.07 g cm⁻³


Most stable: #w. Least stable: #x.


#w
Entry from OQMD: crystalline GdTm2Hg at its relaxed geometry (PBE).

abc: 6.838 6.838 5.381
angles: 90.00 90.00 120.33
Element x y z (fractional)
Tm (0.340, 0.173, 0.250)
Tm (0.827, 0.660, 0.250)
Hg (0.663, 0.337, 0.750)
Tm (0.173, 0.340, 0.750)
Tm (0.660, 0.827, 0.750)
Hg (0.337, 0.663, 0.250)
Gd (0.825, 0.175, 0.250)
Gd (0.175, 0.825, 0.750)

Values from the calculation:
- Space-group type: Cmcm
- Calculated density: 10.64 g cm⁻³


#x
Entry from OQMD: crystalline GdTm2Hg at its relaxed geometry (PBE).

abc: 5.394 6.740 6.740
angles: 64.72 90.00 90.00
Element x y z (fractional)
Tm (0.000, 0.155, 0.155)
Gd (0.000, 0.656, 0.656)
Tm (0.500, 0.850, 0.850)
Tm (0.000, 0.657, 0.166)
Gd (0.500, 0.343, 0.343)
Hg (0.500, 0.842, 0.330)
Hg (0.500, 0.330, 0.842)
Tm (0.000, 0.166, 0.657)

Values from the calculation:
- Space-group type: Amm2
- Calculated density: 10.43 g cm⁻³


Most stable: #w. Least stable: #x.


#w
Entry from OQMD: crystalline Gd2Tm3Hg3 at its relaxed geometry (PBE).

abc: 6.953 6.953 5.142
angles: 90.00 90.00 120.00
Site moments in Bohr magnetons follow the coordinates.
Element x y z (fractional)
Gd (0.333, 0.667, 0.500)  0.13
Hg (0.324, 0.162, 0.500)  0.01
Tm (0.162, 0.838, 0.000)  0.10
Hg (0.838, 0.162, 0.500)  0.01
Tm (0.675, 0.838, 0.000)  0.12
Hg (0.838, 0.676, 0.500)  0.01
Tm (0.162, 0.325, 0.000)  0.11
Gd (0.667, 0.333, 0.000)  0.09

Values from the calculation:
- Space-group type: P-6m2
- Calculated density: 10.98 g cm⁻³


#x
Entry from OQMD: crystalline Gd2Tm3Hg3 at its relaxed geometry (PBE).

abc: 6.585 5.374 6.612
angles: 90.00 115.77 90.00
Element x y z (fractional)
Gd (0.647, 0.500, 0.349)
Hg (0.856, 0.000, 0.649)
Tm (0.142, 0.500, 0.853)
Tm (0.162, 0.500, 0.348)
Hg (0.655, 0.500, 0.850)
Gd (0.361, 0.000, 0.661)
Hg (0.334, 0.000, 0.160)
Tm (0.842, 0.000, 0.129)

Values from the calculation:
- Space-group type: Pm
- Calculated density: 11.22 g cm⁻³


Most stable: #x. Least stable: #w.


#w
Entry from OQMD: crystalline Gd2Y3Hg3 at its relaxed geometry (PBE).

abc: 7.023 7.023 5.181
angles: 90.00 90.00 120.00
Site moments in Bohr magnetons follow the coordinates.
Element x y z (fractional)
Hg (0.830, 0.660, 0.000)  0.01
Hg (0.340, 0.170, 0.000)  0.01
Gd (0.000, 0.000, 0.500)  0.11
Y (0.504, 0.008, 0.500)  0.11
Hg (0.830, 0.170, 0.000)  0.01
Y (0.504, 0.496, 0.500)  0.11
Gd (0.333, 0.667, 0.000)  0.18
Y (0.992, 0.496, 0.500)  0.12

Values from the calculation:
- Space-group type: P-6m2
- Calculated density: 8.88 g cm⁻³


#x
Entry from OQMD: crystalline Gd2Y3Hg3 at its relaxed geometry (PBE).

abc: 6.529 5.388 6.646
angles: 90.00 112.44 90.00
Element x y z (fractional)
Y (0.144, 0.500, 0.897)
Hg (0.127, 0.500, 0.402)
Gd (0.360, 0.000, 0.667)
Hg (0.380, 0.000, 0.159)
Y (0.889, 0.000, 0.123)
Y (0.827, 0.000, 0.605)
Gd (0.628, 0.500, 0.327)
Hg (0.645, 0.500, 0.821)

Values from the calculation:
- Space-group type: Pm
- Calculated density: 9.09 g cm⁻³


Most stable: #x. Least stable: #w.


#w
Entry from OQMD: crystalline GdHoLu at its relaxed geometry (PBE).

abc: 5.353 5.353 5.353
angles: 60.00 60.00 60.00
Element x y z (fractional)
Ho (0.000, 0.000, 0.000)
Lu (0.250, 0.250, 0.250)
Gd (0.500, 0.500, 0.500)

Values from the calculation:
- Space-group type: F-43m
- Calculated density: 7.61 g cm⁻³


#x
Entry from OQMD: crystalline GdHoLu at its relaxed geometry (PBE).

abc: 6.069 6.069 6.069
angles: 146.36 132.10 59.80
Element x y z (fractional)
Ho (0.656, 0.656, 0.000)
Gd (0.325, 0.325, 0.000)
Lu (0.992, 0.992, 0.000)

Values from the calculation:
- Space-group type: Imm2
- Calculated density: 9.07 g cm⁻³


Most stable: #x. Least stable: #w.


#w
Entry from OQMD: crystalline GdHoNi4 at its relaxed geometry (PBE).

abc: 5.054 5.054 5.054
angles: 60.00 60.00 60.00
Element x y z (fractional)
Ni (0.625, 0.625, 0.625)
Ho (0.250, 0.250, 0.250)
Ni (0.625, 0.126, 0.625)
Ni (0.625, 0.625, 0.126)
Gd (0.000, 0.000, 0.000)
Ni (0.126, 0.625, 0.625)

Values from the calculation:
- Space-group type: F-43m
- Calculated density: 10.13 g cm⁻³


#x
Entry from OQMD: crystalline GdHoNi4 at its relaxed geometry (PBE).

abc: 5.373 5.373 8.013
angles: 90.00 90.00 120.00
Element x y z (fractional)
Gd (0.000, 0.000, 0.500)
Ni (0.500, 0.500, 0.772)
Gd (0.000, 0.000, 0.000)
Ho (0.333, 0.667, 0.500)
Ho (0.667, 0.333, 0.500)
Ni (0.000, 0.500, 0.772)
Ni (0.500, 0.500, 0.228)
Ni (0.667, 0.333, 0.000)
Ni (0.000, 0.500, 0.228)
Ni (0.500, 0.000, 0.228)
Ni (0.333, 0.667, 0.000)
Ni (0.500, 0.000, 0.772)

Values from the calculation:
- Space-group type: P6/mmm
- Calculated density: 9.23 g cm⁻³


Most stable: #w. Least stable: #x.


#w
Entry from OQMD: crystalline GdHoPO at its relaxed geometry (PBE).

abc: 4.308 4.308 8.629
angles: 90.00 90.00 90.00
Element x y z (fractional)
O (0.750, 0.250, 0.000)
O (0.250, 0.750, 0.000)
Ho (0.750, 0.250, 0.500)
Gd (0.250, 0.250, 0.106)
Ho (0.250, 0.750, 0.500)
Gd (0.750, 0.750, 0.894)
P (0.250, 0.250, 0.693)
P (0.750, 0.750, 0.307)

Values from the calculation:
- Space-group type: P4/nmm
- Calculated density: 7.65 g cm⁻³


#x
Entry from OQMD: crystalline GdHoPO at its relaxed geometry (PBE).

abc: 4.158 7.644 5.483
angles: 90.00 90.00 90.00
Element x y z (fractional)
Ho (0.000, 0.293, 0.939)
Gd (0.500, 0.130, 0.470)
P (0.000, 0.650, 0.938)
O (0.500, 0.829, 0.407)
Ho (0.000, 0.707, 0.439)
P (0.000, 0.350, 0.438)
Gd (0.500, 0.870, 0.970)
O (0.500, 0.171, 0.907)

Values from the calculation:
- Space-group type: Pmc2_1
- Calculated density: 7.04 g cm⁻³


#y
Entry from OQMD: crystalline GdHoPO at its relaxed geometry (PBE).

abc: 4.298 4.298 8.612
angles: 90.00 90.00 90.00
Element x y z (fractional)
O (0.500, 0.500, 0.000)
Ho (0.000, 0.500, 0.099)
P (0.000, 0.500, 0.702)
P (0.500, 0.000, 0.298)
O (0.000, 0.000, 0.000)
Gd (0.000, 0.000, 0.500)
Ho (0.500, 0.000, 0.901)
Gd (0.500, 0.500, 0.500)

Values from the calculation:
- Space-group type: P4/nmm
- Calculated density: 7.71 g cm⁻³


#z
Entry from OQMD: crystalline GdHoPO at its relaxed geometry (PBE).

abc: 4.177 7.467 5.743
angles: 90.00 90.00 90.00
Element x y z (fractional)
Gd (0.000, 0.201, 0.438)
O (0.500, 0.332, 0.382)
O (0.500, 0.668, 0.882)
Ho (0.500, 0.620, 0.500)
P (0.000, 0.834, 0.434)
Ho (0.500, 0.380, 0.000)
P (0.000, 0.166, 0.934)
Gd (0.000, 0.799, 0.938)

Values from the calculation:
- Space-group type: Pmc2_1
- Calculated density: 6.84 g cm⁻³


Most stable: #z. Least stable: #y.